1.
HfAsOs3 (PBE, relaxed); formation energy = 2418 meV per atom; E_tot = -36.20 eV per cell; energy relative to the lowest polymorph listed for this composition = 1.485 eV per atom; spin magnetization = 0.5 μB/cell
1.0
4.8008 0.0000 0.0000
0.0000 4.8008 0.0000
0.0000 0.0000 4.8008
Hf As Os
1 1 3
Direct
0.0000 0.0000 0.0000
0.5000 0.5000 0.5000
0.0000 0.0000 0.5000
0.0000 0.5000 0.0000
0.5000 0.0000 0.0000


2.
MgTcB2Os (PBE, relaxed); formation energy = 1021 meV per atom; E_tot = -31.44 eV per cell; energy relative to the lowest polymorph listed for this composition = 0.000 eV per atom; spin magnetization = 0.0 μB/cell
1.0
4.0672 0.0000 0.0000
0.0000 4.0672 0.0000
0.0000 0.0000 4.9126
Mg Tc B Os
1 1 2 1
Direct
0.0000 0.0000 0.0000
0.5000 0.5000 0.0000
0.0000 0.5000 0.5000
0.5000 0.0000 0.5000
0.5000 0.5000 0.5000


3.
K2TiCdSe (PBE, relaxed); E_tot = -11.94 eV per cell; spin magnetization = 0.3 μB/cell
1.0
6.2816 0.0000 0.0000
0.0000 6.2816 0.0000
0.0000 0.0000 5.4167
K Ti Cd Se
2 1 1 1
Direct
0.0000 0.5000 0.0000
0.5000 0.0000 0.0000
0.0000 0.0000 0.5000
0.5000 0.5000 0.5000
0.5000 0.5000 0.0000


4.
Tb4In5Hg2 (PBE, relaxed); formation energy = -416 meV per atom; E_tot = -37.39 eV per cell; spin magnetization = 0.0 μB/cell
1.0
7.9512 0.0000 0.0000
0.0000 3.5550 0.0000
-0.8596 0.0000 10.1376
Tb In Hg
4 5 2
Direct
0.1765 0.0000 0.3837
0.2681 0.0000 0.9403
0.7319 0.0000 0.0597
0.8235 0.0000 0.6163
0.1831 0.5000 0.6585
0.4482 0.5000 0.1965
0.5000 0.5000 0.5000
0.5518 0.5000 0.8035
0.8169 0.5000 0.3415
0.0670 0.5000 0.1378
0.9330 0.5000 0.8622


5.
Ca2MnReN4 (PBE, relaxed); E_tot = -127.23 eV per cell; spin magnetization = 8.0 μB/cell
1.0
7.1383 0.0000 0.0000
0.0000 6.1471 0.0000
0.0000 0.0000 5.4969
Ca Mn Re N
4 2 2 8
Direct
0.2485 0.1942 0.0000
0.2515 0.8058 0.5000
0.7485 0.8058 0.5000
0.7515 0.1942 0.0000
0.0000 0.3096 0.5047
0.5000 0.6904 0.0047
0.0000 0.6677 0.0202
0.5000 0.3323 0.5202
0.0000 0.4069 0.8525
0.0000 0.6072 0.3501
0.2327 0.8061 0.9600
0.2673 0.1939 0.4600
0.5000 0.3928 0.8501
0.5000 0.5931 0.3525
0.7327 0.1939 0.4600
0.7673 0.8061 0.9600


6.
ZnIn2PtAu (PBE, relaxed); formation energy = -61 meV per atom; E_tot = -16.38 eV per cell; spin magnetization = 0.0 μB/cell
1.0
5.1680 0.0000 0.0000
0.0000 5.1680 0.0000
0.0000 0.0000 4.8455
Zn In Pt Au
1 2 1 1
Direct
0.0000 0.0000 0.0000
0.0000 0.5000 0.5000
0.5000 0.0000 0.5000
0.0000 0.0000 0.5000
0.5000 0.5000 0.0000


- Which of these has the highest E_tot?
  K2TiCdSe